No. 1
Density functional theory data (PBE) for crystalline TmZnGa2Pt2 at its relaxed geometry.

Lattice parameters (Å, degrees): 4.375 4.375 6.344 90.00 90.00 120.00
Atoms (fractional coordinates):
Tm (0.000, 0.000, 0.500)
Pt (0.667, 0.333, 0.779)
Pt (0.333, 0.667, 0.221)
Ga (0.667, 0.333, 0.212)
Ga (0.333, 0.667, 0.788)
Zn (0.000, 0.000, 0.000)

The calculation puts the formation energy at -0.794 eV/atom.

=====

No. 2
Density functional theory data (PBE) for crystalline Tm2ZnGa3Pt4 at its relaxed geometry.

Lattice parameters (Å, degrees): 4.010 4.010 11.410 90.00 90.00 90.00
Atoms (fractional coordinates):
Ga (0.000, 0.500, 0.134)
Ga (0.500, 0.000, 0.866)
Ga (0.000, 0.000, 0.500)
Tm (0.000, 0.500, 0.747)
Tm (0.500, 0.000, 0.253)
Pt (0.000, 0.500, 0.350)
Pt (0.500, 0.000, 0.650)
Pt (0.500, 0.500, 0.000)
Pt (0.000, 0.000, 0.000)
Zn (0.500, 0.500, 0.500)

The calculation puts the formation energy at -0.905 eV/atom.

=====

No. 3
Density functional theory data (PBE) for crystalline UGa2Pt at its relaxed geometry.

Lattice parameters (Å, degrees): 5.456 6.770 8.260 90.00 90.00 90.00
Atoms (fractional coordinates):
Ga (0.622, 0.448, 0.690)
Ga (0.378, 0.948, 0.310)
Ga (0.378, 0.552, 0.310)
Ga (0.122, 0.948, 0.810)
Ga (0.122, 0.552, 0.810)
Ga (0.878, 0.448, 0.190)
Ga (0.622, 0.052, 0.690)
Ga (0.878, 0.052, 0.190)
U (0.618, 0.750, 0.960)
U (0.118, 0.250, 0.540)
U (0.882, 0.750, 0.460)
U (0.382, 0.250, 0.040)
Pt (0.373, 0.750, 0.588)
Pt (0.127, 0.750, 0.088)
Pt (0.873, 0.250, 0.912)
Pt (0.627, 0.250, 0.412)

The calculation puts the formation energy at -0.421 eV/atom.